Record 1
VASP calculation (PBE) on Mg3BiRh after structural relaxation.

final energy = -3.4520 eV per atom
energy above the lowest structure with this stoichiometry = 0.036 eV per atom
calculated density = 5.87 Mg/m³
E_form = -1.244 eV/f.u.
magnetic moment = 0.0 μB/cell

a b c (Å): 4.591 5.559 8.843
angles (deg): 105.25 90.01 90.01
Space group P1 (No. 1)
Inequivalent atoms, fractional coordinates:
Mg (0.000, 0.000, 0.000) [1 per cell]
Mg (0.000, 0.465, 0.850) [1 per cell]
Mg (0.001, 0.600, 0.338) [1 per cell]
Mg (0.500, 0.095, 0.743) [1 per cell]
Mg (0.501, 0.405, 0.082) [1 per cell]
Mg (0.999, 0.133, 0.496) [1 per cell]
Bi (0.500, 0.541, 0.586) [1 per cell]
Bi (0.500, 0.956, 0.239) [1 per cell]
Rh (0.000, 0.831, 0.680) [1 per cell]
Rh (0.500, 0.740, 0.908) [1 per cell]

***

Record 2
VASP calculation (PBE) on CeThHgC after structural relaxation.

final energy = -6.0123 eV per atom
calculated density = 10.24 Mg/m³
E_form = -1.170 eV/f.u.
magnetic moment = 1.7 μB/cell

a b c (Å): 3.6467 3.6467 24.7043
angles (deg): 90.00 90.00 120.00
Space group R3m (No. 160, hexagonal axes)
Inequivalent atoms, fractional coordinates:
Ce (0.0000, 0.0000, 0.0000) [3 per cell]
Th (0.0000, 0.0000, 0.7830) [3 per cell]
Hg (0.0000, 0.0000, 0.2267) [3 per cell]
C (0.0000, 0.0000, 0.3910) [3 per cell]

***

Record 3
VASP calculation (PBE) on Tm3HfH8 after structural relaxation.

final energy = -4.8471 eV per atom
calculated density = 9.42 Mg/m³
magnetic moment = 0.0 μB/cell

a b c (Å): 4.963 4.963 4.963
angles (deg): 90.00 90.00 90.00
Space group Pm-3m (No. 221)
Inequivalent atoms, fractional coordinates:
Tm (0.000, 0.000, 0.500) [3 per cell]
Hf (0.500, 0.500, 0.500) [1 per cell]
H (0.261, 0.261, 0.261) [8 per cell]

***

Record 4
VASP calculation (PBE) on PmPr2S4 after structural relaxation.

ΔE_f (raw) = -14.11 eV/f.u.
final energy = -6.4188 eV per atom
energy above the lowest structure with this stoichiometry = 0.000 eV per atom
calculated density = 5.06 Mg/m³
magnetic moment = 0.0 μB/cell

a b c (Å): 3.951 13.604 13.550
angles (deg): 90.00 90.00 90.00
Space group Cmcm (No. 63)
Inequivalent atoms, fractional coordinates:
Pm (0.000, 0.127, 0.250) [4 per cell]
Pr (0.000, 0.371, 0.071) [8 per cell]
S (0.000, 0.000, 0.000) [4 per cell]
S (0.000, 0.278, 0.624) [8 per cell]
S (0.000, 0.478, 0.250) [4 per cell]

***

Record 5
VASP calculation (PBE) on TcPdF2 after structural relaxation.

ΔE_f (raw) = -2.06 eV/f.u.
final energy = -5.3404 eV per atom
energy above the lowest structure with this stoichiometry = 0.196 eV per atom
calculated density = 8.00 Mg/m³
magnetic moment = 0.0 μB/cell

a b c (Å): 2.7095 2.7095 23.7389
angles (deg): 90.00 90.00 120.00
Space group R-3m (No. 166, hexagonal axes)
Inequivalent atoms, fractional coordinates:
Tc (0.0000, 0.0000, 0.0000) [3 per cell]
Pd (0.0000, 0.0000, 0.5000) [3 per cell]
F (0.0000, 0.0000, 0.4109) [6 per cell]

***

Record 6
VASP calculation (PBE) on LiFeGeW after structural relaxation.

final energy = -6.9027 eV per atom
calculated density = 10.59 Mg/m³
E_form = 0.336 eV/f.u.
magnetic moment = 0.0 μB/cell

a b c (Å): 5.850 5.850 5.850
angles (deg): 90.00 90.00 90.00
Space group F-43m (No. 216)
Inequivalent atoms, fractional coordinates:
Li (0.000, 0.000, 0.000) [4 per cell]
Fe (0.000, 0.000, 0.500) [4 per cell]
Ge (0.250, 0.250, 0.750) [4 per cell]
W (0.250, 0.250, 0.250) [4 per cell]

***

Record 7
VASP calculation (PBE) on LaPS after structural relaxation.

ΔE_f (raw) = -4.97 eV/f.u.
final energy = -6.4792 eV per atom
calculated density = 4.81 Mg/m³
magnetic moment = 0.0 μB/cell

a b c (Å): 5.727 5.630 17.302
angles (deg): 90.00 90.00 90.00
Space group Pnma (No. 62)
Inequivalent atoms, fractional coordinates:
La (0.016, 0.250, 0.138) [4 per cell]
La (0.017, 0.750, 0.351) [4 per cell]
P (0.189, 0.049, 0.503) [8 per cell]
S (0.012, 0.750, 0.180) [4 per cell]
S (0.014, 0.250, 0.311) [4 per cell]

***

Record 8
VASP calculation (PBE) on TlRe4Se7 after structural relaxation.

ΔE_f (raw) = 2.08 eV/f.u.
final energy = -6.2061 eV per atom
calculated density = 9.05 Mg/m³
magnetic moment = 0.0 μB/cell

a b c (Å): 14.814 7.963 4.674
angles (deg): 90.00 90.00 90.00
Space group Pmn2_1 (No. 31)
Inequivalent atoms, fractional coordinates:
Tl (0.000, 0.217, 0.000) [2 per cell]
Re (0.145, 0.752, 0.496) [4 per cell]
Re (0.238, 0.776, 0.996) [4 per cell]
Se (0.000, 0.910, 0.497) [2 per cell]
Se (0.102, 0.627, 0.996) [4 per cell]
Se (0.140, 0.422, 0.497) [4 per cell]
Se (0.208, 0.101, 0.996) [4 per cell]

***

Record 9
VASP calculation (PBE) on Ba2Sr4Bi3F2 after structural relaxation.

ΔE_f (raw) = -18.30 eV/f.u.
final energy = -4.0235 eV per atom
calculated density = 5.65 Mg/m³
magnetic moment = 1.4 μB/cell

a b c (Å): 5.220 5.220 27.810
angles (deg): 90.00 90.00 90.00
Space group I4/mmm (No. 139)
Inequivalent atoms, fractional coordinates:
Ba (0.000, 0.000, 0.201) [4 per cell]
Sr (0.000, 0.500, 0.081) [8 per cell]
Bi (0.000, 0.000, 0.333) [4 per cell]
Bi (0.000, 0.000, 0.500) [2 per cell]
F (0.000, 0.000, 0.089) [4 per cell]

***

Record 10
VASP calculation (PBE) on CaSc2SnSe after structural relaxation.

ΔE_f (raw) = -0.14 eV/f.u.
final energy = -4.4579 eV per atom
calculated density = 3.24 Mg/m³
magnetic moment = 1.5 μB/cell

a b c (Å): 5.368 5.368 5.826
angles (deg): 90.00 90.00 90.00
Space group P4/mmm (No. 123)
Inequivalent atoms, fractional coordinates:
Ca (0.000, 0.000, 0.000) [1 per cell]
Sc (0.000, 0.500, 0.500) [2 per cell]
Sn (0.000, 0.000, 0.500) [1 per cell]
Se (0.500, 0.500, 0.000) [1 per cell]

***

Record 11
VASP calculation (PBE) on ZrOs5 after structural relaxation.

final energy = -10.5002 eV per atom
energy above the lowest structure with this stoichiometry = 0.325 eV per atom
calculated density = 17.86 Mg/m³
E_form = 1.696 eV/f.u.
magnetic moment = 0.0 μB/cell

a b c (Å): 7.291 7.291 7.291
angles (deg): 90.00 90.00 90.00
Space group F-43m (No. 216)
Inequivalent atoms, fractional coordinates:
Zr (0.000, 0.000, 0.000) [4 per cell]
Os (0.124, 0.124, 0.376) [16 per cell]
Os (0.250, 0.250, 0.750) [4 per cell]

***

Record 12
VASP calculation (PBE) on Pr4PuIn5 after structural relaxation.

final energy = -5.1169 eV per atom
calculated density = 7.84 Mg/m³
E_form = -4.027 eV/f.u.
magnetic moment = 5.7 μB/cell

a b c (Å): 3.865 3.865 19.591
angles (deg): 90.00 90.00 90.00
Space group P4/mmm (No. 123)
Inequivalent atoms, fractional coordinates:
Pr (0.000, 0.000, 0.102) [2 per cell]
Pr (0.000, 0.000, 0.304) [2 per cell]
Pu (0.000, 0.000, 0.500) [1 per cell]
In (0.500, 0.500, 0.000) [1 per cell]
In (0.500, 0.500, 0.203) [2 per cell]
In (0.500, 0.500, 0.405) [2 per cell]

***

Record 13
VASP calculation (PBE) on TbSm2Y4Er2 after structural relaxation.

final energy = -5.4436 eV per atom
calculated density = 6.58 Mg/m³
E_form = 0.058 eV/f.u.
magnetic moment = 0.0 μB/cell

a b c (Å): 18.701 3.601 9.570
angles (deg): 90.00 115.79 90.00
Space group C2/m (No. 12)
Inequivalent atoms, fractional coordinates:
Tb (0.000, 0.000, 0.000) [2 per cell]
Sm (0.149, 0.000, 0.668) [4 per cell]
Y (0.019, 0.500, 0.332) [4 per cell]
Y (0.185, 0.000, 0.332) [4 per cell]
Er (0.167, 0.500, 0.001) [4 per cell]

***

Record 14
VASP calculation (PBE) on In2Pd3Au7 after structural relaxation.

final energy = -3.6775 eV per atom
calculated density = 13.60 Mg/m³
E_form = -0.133 eV/f.u.
magnetic moment = 0.0 μB/cell

a b c (Å): 2.963 35.932 4.422
angles (deg): 90.00 90.00 90.00
Space group Cmmm (No. 65)
Inequivalent atoms, fractional coordinates:
In (0.000, 0.142, 0.000) [4 per cell]
Pd (0.000, 0.000, 0.000) [2 per cell]
Pd (0.000, 0.328, 0.500) [4 per cell]
Au (0.000, 0.095, 0.500) [4 per cell]
Au (0.000, 0.218, 0.000) [4 per cell]
Au (0.000, 0.435, 0.000) [4 per cell]
Au (0.000, 0.500, 0.500) [2 per cell]

***

Record 15
VASP calculation (PBE) on NdMgAl2Ag4 after structural relaxation.

final energy = -3.3751 eV per atom
calculated density = 6.84 Mg/m³
E_form = -1.748 eV/f.u.
magnetic moment = 0.0 μB/cell

a b c (Å): 4.5614 4.5614 26.4491
angles (deg): 90.00 90.00 120.00
Space group R-3m (No. 166, hexagonal axes)
Inequivalent atoms, fractional coordinates:
Nd (0.0000, 0.0000, 0.0000) [3 per cell]
Mg (0.0000, 0.0000, 0.5000) [3 per cell]
Al (0.0000, 0.0000, 0.2458) [6 per cell]
Ag (0.0000, 0.0000, 0.1302) [6 per cell]
Ag (0.0000, 0.0000, 0.3986) [6 per cell]

***

Record 16
VASP calculation (PBE) on CsBa2Zr2 after structural relaxation.

final energy = -3.9866 eV per atom
energy above the lowest structure with this stoichiometry = 0.135 eV per atom
calculated density = 4.24 Mg/m³
E_form = 1.862 eV/f.u.
magnetic moment = 0.2 μB/cell

a b c (Å): 5.707 5.694 14.503
angles (deg): 90.00 101.22 90.00
Space group C2/m (No. 12)
Inequivalent atoms, fractional coordinates:
Cs (0.000, 0.000, 0.000) [2 per cell]
Ba (0.146, 0.500, 0.288) [4 per cell]
Zr (0.231, 0.000, 0.462) [4 per cell]

***

Record 17
VASP calculation (PBE) on Ac4Sb3I after structural relaxation.

ΔE_f (raw) = -8.05 eV/f.u.
final energy = -4.8007 eV per atom
calculated density = 8.40 Mg/m³
magnetic moment = 0.0 μB/cell

a b c (Å): 11.648 11.619 4.090
angles (deg): 90.00 90.17 90.00
Space group C2/m (No. 12)
Inequivalent atoms, fractional coordinates:
Ac (0.000, 0.238, 0.000) [4 per cell]
Ac (0.239, 0.000, 0.991) [4 per cell]
Sb (0.000, 0.000, 0.500) [2 per cell]
Sb (0.250, 0.250, 0.500) [4 per cell]
I (0.000, 0.500, 0.500) [2 per cell]

***

Record 18
VASP calculation (PBE) on Ca2AlHg after structural relaxation.

final energy = -2.1938 eV per atom
energy above the lowest structure with this stoichiometry = 0.187 eV per atom
calculated density = 4.48 Mg/m³
E_form = -0.728 eV/f.u.
magnetic moment = 0.0 μB/cell

a b c (Å): 3.644 3.644 8.596
angles (deg): 90.00 90.00 90.00
Space group P4mm (No. 99)
Inequivalent atoms, fractional coordinates:
Ca (0.000, 0.000, 0.000) [1 per cell]
Ca (0.500, 0.500, 0.366) [1 per cell]
Al (0.500, 0.500, 0.766) [1 per cell]
Hg (0.000, 0.000, 0.594) [1 per cell]

***

Record 19
VASP calculation (PBE) on TaTlHg3 after structural relaxation.

final energy = -2.3197 eV per atom
energy above the lowest structure with this stoichiometry = 0.000 eV per atom
calculated density = 10.07 Mg/m³
E_form = 3.526 eV/f.u.
magnetic moment = 0.0 μB/cell

a b c (Å): 5.460 5.460 5.460
angles (deg): 90.00 90.00 90.00
Space group Pm-3m (No. 221)
Inequivalent atoms, fractional coordinates:
Ta (0.000, 0.000, 0.000) [1 per cell]
Tl (0.500, 0.500, 0.500) [1 per cell]
Hg (0.000, 0.000, 0.500) [3 per cell]

***

Record 20
VASP calculation (PBE) on Ba2AcAl2O6 after structural relaxation.

ΔE_f (raw) = -29.86 eV/f.u.
final energy = -6.8226 eV per atom
calculated density = 5.25 Mg/m³
magnetic moment = 2.2 μB/cell

a b c (Å): 6.0204 6.0204 19.6860
angles (deg): 90.00 90.00 120.00
Space group R-3m (No. 166, hexagonal axes)
Inequivalent atoms, fractional coordinates:
Ba (0.0000, 0.0000, 0.2024) [6 per cell]
Ac (0.0000, 0.0000, 0.0000) [3 per cell]
Al (0.0000, 0.0000, 0.4162) [6 per cell]
O (0.0039, 0.5020, 0.2403) [18 per cell]